SmNpGe2O8: optimized geometry, PBE.

The total energy comes out at -95.07 eV per cell. The space group is I-4m2 (119). Its size of the total moment is 2.00 μB per cell.

Unit cell a=5.9848 b=5.9848 c=5.9848 alpha=107.03 beta=107.03 gamma=114.47
Element x y z (fractional)
Np 0.2500 0.7500 0.5000
O 0.9396 0.2610 0.3214
O 0.4857 0.6771 0.8086
O 0.3818 0.0604 0.3214
O 0.9396 0.6182 0.6786
O 0.7390 0.0604 0.6786
O 0.3229 0.1315 0.8086
O 0.8685 0.6771 0.1914
O 0.3229 0.5143 0.1914
Ge 0.7500 0.2500 0.5000
Ge 0.5000 0.5000 0.0000
Sm 0.0000 0.0000 0.0000